Material: K2NaCoF6
Method: DFT, PBE+U
State: relaxed

Lattice parameters (Å, degrees): 5.8506 5.8498 5.8498 59.99 60.00 60.00
Closest atoms and distances in Å follow each position.
Element x y z (fractional)
1 K 0.7500 0.7500 0.7500  12 F 2.93
2 F 0.2264 0.2265 0.7735  1 Co 1.87
3 F 0.2264 0.7735 0.2265  1 Co 1.87
4 K 0.2500 0.2500 0.2500  12 F 2.93
5 F 0.7736 0.2265 0.7735  1 Co 1.87
6 F 0.7736 0.2264 0.2264  1 Co 1.87
7 F 0.7736 0.7735 0.2265  1 Co 1.87
8 F 0.2264 0.7736 0.7736  1 Co 1.87
9 Na 0.5000 0.5000 0.5000  6 F 2.26
10 Co 0.0000 0.0000 0.0000  6 F 1.87

Values from the calculation:
For the final energy, the calculation gives -4.490 eV/atom. The calculation puts the volume at 141.55 Å³/cell. Its space group is Fm-3m.